KZn3Au2: relaxed, PBE-GGA.

N(E_F), states/eV/f.u.: 2.02
Space-group type: Cmcm, No. 63
Excess energy over the best structure of this formula in the dataset, meV per atom: 7
Calculated formation energy, eV per atom: -0.2052
Spin magnetization, μB per atom: 0.000

```
12
Lattice="5.3982 -4.2126 0.0000 5.3982 4.2126 0.0000 0.0000 0.0000 5.7936" Properties=species:S:1:pos:R:3 pbc="T T T"
K 5.3982 2.9141 4.3452
K 5.3982 -2.9141 1.4484
Zn 3.2600 2.2810 1.4484
Zn 5.3982 0.7010 1.4484
Zn 7.5363 2.2810 1.4484
Zn 3.2600 -2.2810 4.3452
Zn 5.3982 -0.7010 4.3452
Zn 7.5363 -2.2810 4.3452
Au 3.2188 0.0000 0.0000
Au 3.2188 0.0000 2.8968
Au 7.5776 0.0000 0.0000
Au 7.5776 0.0000 2.8968
```



K2ZnAu: relaxed, PBE-GGA.

N(E_F), states/eV/f.u.: 1.89
Space-group type: I-42d, No. 122
Excess energy over the best structure of this formula in the dataset, meV per atom: 260
Calculated formation energy, eV per atom: 0.0612
Spin magnetization, μB per atom: 0.000

```
8
Lattice="-4.6083 4.6083 3.3496 4.6083 -4.6083 3.3496 4.6083 4.6083 -3.3496" Properties=species:S:1:pos:R:3 pbc="T T T"
K 6.9125 2.1061 -0.8374
K 2.1061 2.3042 0.8374
K -2.3042 2.5022 2.5122
K 2.5022 2.3042 4.1870
Zn 4.6083 0.0000 1.6748
Zn 0.0000 0.0000 3.3496
Au 0.0000 0.0000 0.0000
Au 0.0000 4.6083 1.6748
```



KZn2Au: relaxed, PBE-GGA.

N(E_F), states/eV/f.u.: 1.61
Space-group type: Imm2, No. 44
Excess energy over the best structure of this formula in the dataset, meV per atom: 270
Calculated formation energy, eV per atom: 0.0485
Spin magnetization, μB per atom: 0.000

```
4
Lattice="-2.3434 3.0303 3.7434 2.3434 -3.0303 3.7434 2.3434 3.0303 -3.7434" Properties=species:S:1:pos:R:3 pbc="T T T"
K 0.0000 0.0000 0.0000
Zn 0.0000 0.0000 3.6451
Zn 0.0000 3.0303 1.3531
Au 2.3434 0.0000 2.4496
```



KZn3Au: relaxed, PBE-GGA.

N(E_F), states/eV/f.u.: 1.11
Space-group type: Pm-3m, No. 221
Excess energy over the best structure of this formula in the dataset, meV per atom: 48
Calculated formation energy, eV per atom: -0.0633
Spin magnetization, μB per atom: 0.000

```
5
Lattice="5.0254 0.0000 0.0000 0.0000 5.0254 0.0000 0.0000 0.0000 5.0254" Properties=species:S:1:pos:R:3 pbc="T T T"
K 0.0000 0.0000 0.0000
Zn 0.0000 2.5127 2.5127
Zn 2.5127 0.0000 2.5127
Zn 2.5127 2.5127 0.0000
Au 2.5127 2.5127 2.5127
```



KZn3Au2: relaxed, PBE-GGA.

N(E_F), states/eV/f.u.: 2.24
Space-group type: C2/m, No. 12
Excess energy over the best structure of this formula in the dataset, meV per atom: 0
Calculated formation energy, eV per atom: -0.2125
Spin magnetization, μB per atom: 0.000

```
12
Lattice="8.1092 -2.2388 0.0000 8.1092 2.2388 0.0000 -3.3043 0.0000 7.4318" Properties=species:S:1:pos:R:3 pbc="T T T"
K 2.3121 0.0000 0.6483
K 10.6020 0.0000 6.7835
Zn -1.0898 0.0000 2.4896
Zn 3.2254 0.0000 4.1066
Zn 5.4664 0.0000 2.5502
Zn 7.4477 0.0000 4.8817
Zn 9.6887 0.0000 3.3252
Zn 14.0040 0.0000 4.9422
Au 0.6524 0.0000 4.5632
Au 5.0979 0.0000 6.0711
Au 7.8162 0.0000 1.3607
Au 12.2617 0.0000 2.8687
```



KZn2Au: relaxed, PBE-GGA.

N(E_F), states/eV/f.u.: 1.06
Space-group type: Immm, No. 71
Excess energy over the best structure of this formula in the dataset, meV per atom: 247
Calculated formation energy, eV per atom: 0.0251
Spin magnetization, μB per atom: 0.000

```
4
Lattice="-1.7371 2.7798 5.0898 1.7371 -2.7798 5.0898 1.7371 2.7798 -5.0898" Properties=species:S:1:pos:R:3 pbc="T T T"
K 0.0000 0.0000 0.0000
Zn 1.7371 0.0000 3.0469
Zn 0.0000 2.7798 2.0429
Au 0.0000 0.0000 5.0898
```



K2ZnAu: relaxed, PBE-GGA.

N(E_F), states/eV/f.u.: 2.61
Space-group type: R-3m, No. 166
Excess energy over the best structure of this formula in the dataset, meV per atom: 233
Calculated formation energy, eV per atom: 0.0335
Spin magnetization, μB per atom: 0.000

```
4
Lattice="2.3124 1.3351 8.7931 -2.3124 1.3351 8.7931 0.0000 -2.6701 8.7931" Properties=species:S:1:pos:R:3 pbc="T T T"
K 0.0000 0.0000 6.3839
K 0.0000 0.0000 19.9955
Zn 0.0000 0.0000 0.0000
Au 0.0000 0.0000 13.1897
```



KZn2Au3: relaxed, PBE-GGA.

N(E_F), states/eV/f.u.: 1.45
Space-group type: Cmcm, No. 63
Calculated formation energy, eV per atom: -0.3157
Spin magnetization, μB per atom: 0.000

```
12
Lattice="5.7196 -4.2383 0.0000 5.7196 4.2383 0.0000 0.0000 0.0000 5.5670" Properties=species:S:1:pos:R:3 pbc="T T T"
K 5.7196 2.8608 4.1752
K 5.7196 -2.8608 1.3917
Zn 3.5259 0.0000 0.0000
Zn 3.5259 0.0000 2.7835
Zn 7.9133 0.0000 0.0000
Zn 7.9133 0.0000 2.7835
Au 3.3476 2.3229 1.3917
Au 5.7196 0.7472 1.3917
Au 8.0916 2.3229 1.3917
Au 3.3476 -2.3229 4.1752
Au 5.7196 -0.7472 4.1752
Au 8.0916 -2.3229 4.1752
```



K2ZrAu: relaxed, PBE-GGA.

N(E_F), states/eV/f.u.: 4.54
Space-group type: Cmmm, No. 65
Excess energy over the best structure of this formula in the dataset, meV per atom: 526
Calculated formation energy, eV per atom: 0.6222
Spin magnetization, μB per atom: 0.247

```
4
Lattice="3.0534 -5.9382 0.0000 3.0534 5.9382 0.0000 0.0000 0.0000 3.2978" Properties=species:S:1:pos:R:3 pbc="T T T"
K 1.5267 2.9691 0.0000
K 1.5267 -2.9691 0.0000
Zr 0.0000 0.0000 1.6489
Au 3.0534 0.0000 1.6489
```



K2ZrAu: relaxed, PBE-GGA.

N(E_F), states/eV/f.u.: 2.48
Space-group type: C2/m, No. 12
Excess energy over the best structure of this formula in the dataset, meV per atom: 439
Calculated formation energy, eV per atom: 0.5355
Spin magnetization, μB per atom: 0.228

```
4
Lattice="3.0751 -6.3161 0.0000 3.0751 6.3161 0.0000 -1.7470 0.0000 2.9040" Properties=species:S:1:pos:R:3 pbc="T T T"
K 1.5375 3.1580 0.0000
K 1.5375 -3.1580 0.0000
Zr -0.8735 0.0000 1.4520
Au 2.2016 0.0000 1.4520
```



KZr2Au2: relaxed, PBE-GGA.

N(E_F), states/eV/f.u.: 6.48
Space-group type: I4/mmm, No. 139
Excess energy over the best structure of this formula in the dataset, meV per atom: 98
Calculated formation energy, eV per atom: -0.0452
Spin magnetization, μB per atom: 0.000

```
5
Lattice="-2.1247 2.1247 7.0767 2.1247 -2.1247 7.0767 2.1247 2.1247 -7.0767" Properties=species:S:1:pos:R:3 pbc="T T T"
K 0.0000 0.0000 0.0000
Zr 2.1247 0.0000 3.5383
Zr 0.0000 2.1247 3.5383
Au 0.0000 0.0000 5.5776
Au 0.0000 0.0000 8.5757
```



K2ZrAu: relaxed, PBE-GGA.

N(E_F), states/eV/f.u.: 4.40
Space-group type: I-42d, No. 122
Excess energy over the best structure of this formula in the dataset, meV per atom: 517
Calculated formation energy, eV per atom: 0.6140
Spin magnetization, μB per atom: 0.574

```
8
Lattice="-5.5926 5.5926 2.7381 5.5926 -5.5926 2.7381 5.5926 5.5926 -2.7381" Properties=species:S:1:pos:R:3 pbc="T T T"
K 8.3888 1.5465 -0.6845
K 1.5465 2.7963 0.6845
K -2.7963 4.0461 2.0536
K 4.0461 2.7963 3.4227
Zr 5.5926 0.0000 1.3691
Zr 0.0000 0.0000 2.7381
Au 0.0000 0.0000 0.0000
Au 0.0000 5.5926 1.3691
```